No. 1
The following is a PBE calculation of a geometry-optimized GdZrC structure, from Alexandria via LeMat-Bulk.

Values from the calculation:
magnetization: 2.555 μB per atom
volume: 60.9 Å³ per cell
E: -0.8049 Ry per atom
space group: P3m1, No. 156
D(E_F): 2.75 states/eV per cell
ΔH_f (0 K): -333 meV per atom

Unit cell a=5.8912 b=3.4563 c=3.4563 alpha=120.00 beta=90.00 gamma=90.00
Site moments in Bohr magnetons follow the coordinates.
Atoms (fractional coordinates):
C 0.0254 0.0000 0.0000  -0.04
Gd 0.7622 0.6667 0.3333  7.15
Zr 0.2123 0.3333 0.6667  0.14

***

No. 2
The following is a PBE calculation of a geometry-optimized NbTlSi3 structure, from Alexandria via LeMat-Bulk.

Values from the calculation:
magnetization: 0.569 μB per atom
volume: 128.7 Å³ per cell
E: -0.2828 Ry per atom
space group: Pm-3m, No. 221
energy relative to the elements, uncorrected: 1894 meV per atom
D(E_F): 5.85 states/eV per cell

Unit cell a=5.0487 b=5.0487 c=5.0487 alpha=90.00 beta=90.00 gamma=90.00
Site moments in Bohr magnetons follow the coordinates.
Atoms (fractional coordinates):
Tl 0.0000 0.0000 0.0000  0.03
Si 0.0000 0.5000 0.0000  -0.01
Si 0.0000 0.0000 0.5000  0.00
Si 0.5000 0.0000 0.0000  -0.03
Nb 0.5000 0.5000 0.5000  2.29

***

No. 3
The following is a PBE calculation of a geometry-optimized Cr3Br structure, from Alexandria via LeMat-Bulk.

Values from the calculation:
magnetization: 0.000 μB per atom
volume: 63.4 Å³ per cell
E: -0.5202 Ry per atom
space group: Pmmm, No. 47
energy relative to the elements, uncorrected: 558 meV per atom
D(E_F): 3.32 states/eV per cell

Unit cell a=3.0218 b=3.1823 c=6.5901 alpha=89.99 beta=90.00 gamma=90.00
Atoms (fractional coordinates):
Br 0.0000 0.0000 0.0000
Cr 0.5000 0.9999 0.6694
Cr 0.0000 0.5000 0.5000
Cr 0.5000 0.0001 0.3306

***

No. 4
The following is a PBE calculation of a geometry-optimized SmBi2As2Rh7 structure, from Alexandria via LeMat-Bulk.

Values from the calculation:
magnetization: 0.000 μB per atom
volume: 228.5 Å³ per cell
E: -0.4676 Ry per atom
space group: C2/m, No. 12
D(E_F): 10.56 states/eV per cell
ΔH_f (0 K): -258 meV per atom

Unit cell a=4.0366 b=4.0366 c=14.1648 alpha=84.24 beta=84.24 gamma=89.91
Atoms (fractional coordinates):
Sm 0.0000 0.0000 0.0000
Bi 0.8823 0.8823 0.3912
Bi 0.1177 0.1177 0.6088
As 0.5863 0.5863 0.7518
As 0.4137 0.4137 0.2482
Rh 0.5000 0.5000 0.0000
Rh 0.3708 0.3708 0.4252
Rh 0.6292 0.6292 0.5748
Rh 0.9472 0.4477 0.1531
Rh 0.4477 0.9472 0.1531
Rh 0.5523 0.0528 0.8469
Rh 0.0528 0.5523 0.8469

***

No. 5
The following is a PBE calculation of a geometry-optimized YTlCl3 structure, from Alexandria via LeMat-Bulk.

Values from the calculation:
magnetization: 0.076 μB per atom
volume: 153.4 Å³ per cell
E: -0.3229 Ry per atom
space group: Pm-3m, No. 221
energy relative to the elements, uncorrected: -1520 meV per atom
D(E_F): 7.47 states/eV per cell

Unit cell a=5.3531 b=5.3531 c=5.3531 alpha=90.00 beta=90.00 gamma=90.00
Site moments in Bohr magnetons follow the coordinates.
Atoms (fractional coordinates):
Y 0.0000 0.0000 0.0000  0.16
Tl 0.5000 0.5000 0.5000  0.03
Cl 0.0000 0.5000 0.0000  0.00
Cl 0.0000 0.0000 0.5000  0.00
Cl 0.5000 0.0000 0.0000  -0.01

***

No. 6
The following is a PBE calculation of a geometry-optimized BaCaI3 structure, from Alexandria via LeMat-Bulk.

Values from the calculation:
magnetization: 0.000 μB per atom
volume: 223.7 Å³ per cell
E: -0.2189 Ry per atom
space group: Pm-3m, No. 221
energy relative to the elements, uncorrected: -1264 meV per atom
D(E_F): 4.96 states/eV per cell

Unit cell a=6.0701 b=6.0701 c=6.0701 alpha=90.00 beta=90.00 gamma=90.00
Atoms (fractional coordinates):
I 0.0000 0.5000 0.0000
I 0.0000 0.0000 0.5000
I 0.5000 0.0000 0.0000
Ca 0.0000 0.0000 0.0000
Ba 0.5000 0.5000 0.5000

***

No. 7
The following is a PBE calculation of a geometry-optimized VCdPt2 structure, from Alexandria via LeMat-Bulk.

Values from the calculation:
magnetization: 0.000 μB per atom
volume: 63.7 Å³ per cell
E: -0.4413 Ry per atom
space group: P4/mmm, No. 123
D(E_F): 2.98 states/eV per cell
ΔH_f (0 K): -475 meV per atom

Unit cell a=2.8312 b=2.8312 c=7.9524 alpha=90.00 beta=90.00 gamma=90.00
Atoms (fractional coordinates):
V 0.5000 0.5000 0.0000
Pt 0.0000 0.0000 0.7773
Pt 0.0000 0.0000 0.2227
Cd 0.5000 0.5000 0.5000

***

No. 8
The following is a PBE calculation of a geometry-optimized AcTl2Pt9 structure, from Alexandria via LeMat-Bulk.

Values from the calculation:
magnetization: 0.000 μB per atom
volume: 231.8 Å³ per cell
E: -0.4189 Ry per atom
space group: R-3m, No. 166
D(E_F): 6.72 states/eV per cell
ΔH_f (0 K): -432 meV per atom

Unit cell a=5.5363 b=5.5363 c=9.2981 alpha=72.68 beta=72.68 gamma=60.00
Atoms (fractional coordinates):
Ac 0.0000 0.0000 0.0000
Tl 0.8575 0.8575 0.4274
Tl 0.1425 0.1425 0.5726
Pt 0.6668 0.6668 0.9996
Pt 0.3332 0.3332 0.0004
Pt 0.5000 0.5000 0.5000
Pt 0.4141 0.4141 0.2527
Pt 0.9191 0.4141 0.2527
Pt 0.4141 0.9191 0.2527
Pt 0.5859 0.5859 0.7473
Pt 0.5859 0.0809 0.7473
Pt 0.0809 0.5859 0.7473